Record 1
! Ba2GaBiP | the Alexandria database | PBE | optimized geometry; values from VASP
! ΔH_f (0 K) (meV per atom): -800
! Offset from the most stable computed form (meV/atom): 0
&SYSTEM
  ibrav = 0, nat = 10, ntyp = 4
/
ATOMIC_SPECIES
Ba 137.33 Ba.upf
Ga 69.72 Ga.upf
Bi 208.98 Bi.upf
P 30.97 P.upf
ATOMIC_POSITIONS crystal
Ba 0.214 0.250 0.392
Ba 0.240 0.250 0.980
Ba 0.760 0.750 0.020
Ba 0.786 0.750 0.608
Ga 0.482 0.750 0.264
Ga 0.518 0.250 0.736
Bi 0.315 0.750 0.701
Bi 0.685 0.250 0.299
P 0.172 0.750 0.171
P 0.828 0.250 0.829
CELL_PARAMETERS angstrom
7.773 0.000 0.000
0.000 4.756 0.000
-3.191 0.000 9.802

Record 2
! BaGaBi2Pd | the Alexandria database | PBE | optimized geometry; values from VASP
! ΔH_f (0 K) (meV per atom): -122
&SYSTEM
  ibrav = 0, nat = 5, ntyp = 4
/
ATOMIC_SPECIES
Ba 137.33 Ba.upf
Ga 69.72 Ga.upf
Bi 208.98 Bi.upf
Pd 106.42 Pd.upf
ATOMIC_POSITIONS crystal
Ba 0.000 0.000 0.000
Ga 0.500 0.500 0.000
Bi 0.000 0.500 0.500
Bi 0.500 0.000 0.500
Pd 0.000 0.000 0.500
CELL_PARAMETERS angstrom
5.426 0.000 0.000
0.000 5.426 0.000
0.000 0.000 5.864

Record 3
! Ba2GaBiPd | the Alexandria database | PBE | optimized geometry; values from VASP
! ΔH_f (0 K) (meV per atom): -610
&SYSTEM
  ibrav = 0, nat = 5, ntyp = 4
/
ATOMIC_SPECIES
Ba 137.33 Ba.upf
Ga 69.72 Ga.upf
Bi 208.98 Bi.upf
Pd 106.42 Pd.upf
ATOMIC_POSITIONS crystal
Ba 0.000 0.500 0.000
Ba 0.500 0.000 0.000
Ga 0.000 0.000 0.500
Bi 0.500 0.500 0.500
Pd 0.000 0.000 0.000
CELL_PARAMETERS angstrom
6.057 0.000 0.000
0.000 6.057 0.000
0.000 0.000 4.919

Record 4
! Ba2GaBiPt | the Alexandria database | PBE | optimized geometry; values from VASP
! ΔH_f (0 K) (meV per atom): -714
&SYSTEM
  ibrav = 0, nat = 5, ntyp = 4
/
ATOMIC_SPECIES
Ba 137.33 Ba.upf
Ga 69.72 Ga.upf
Bi 208.98 Bi.upf
Pt 195.08 Pt.upf
ATOMIC_POSITIONS crystal
Ba 0.000 0.500 0.000
Ba 0.500 0.000 0.000
Ga 0.000 0.000 0.500
Bi 0.500 0.500 0.500
Pt 0.000 0.000 0.000
CELL_PARAMETERS angstrom
6.110 0.000 0.000
0.000 6.110 0.000
0.000 0.000 4.886

Record 5
! Ba2Ga3BiPt4 | the Alexandria database | PBE | optimized geometry; values from VASP
! ΔH_f (0 K) (meV per atom): -740
&SYSTEM
  ibrav = 0, nat = 10, ntyp = 4
/
ATOMIC_SPECIES
Ba 137.33 Ba.upf
Ga 69.72 Ga.upf
Bi 208.98 Bi.upf
Pt 195.08 Pt.upf
ATOMIC_POSITIONS crystal
Ba 0.000 0.500 0.239
Ba 0.500 0.000 0.761
Ga 0.000 0.500 0.888
Ga 0.500 0.000 0.112
Ga 0.500 0.500 0.500
Bi 0.000 0.000 0.500
Pt 0.000 0.000 0.000
Pt 0.000 0.500 0.643
Pt 0.500 0.000 0.357
Pt 0.500 0.500 0.000
CELL_PARAMETERS angstrom
4.667 0.000 0.000
0.000 4.667 0.000
0.000 0.000 10.508

Record 6
! Rb2BaGaBi2 | the Alexandria database | PBE | optimized geometry; values from VASP
! ΔH_f (0 K) (meV per atom): -467
&SYSTEM
  ibrav = 0, nat = 12, ntyp = 4
/
ATOMIC_SPECIES
Rb 85.47 Rb.upf
Ba 137.33 Ba.upf
Ga 69.72 Ga.upf
Bi 208.98 Bi.upf
ATOMIC_POSITIONS crystal
Rb 0.000 0.096 0.000
Rb 0.000 0.904 0.500
Rb 0.500 0.163 0.334
Rb 0.500 0.837 0.834
Ba 0.500 0.467 0.977
Ba 0.500 0.533 0.477
Ga 0.000 0.332 0.640
Ga 0.000 0.668 0.140
Bi 0.000 0.404 0.251
Bi 0.000 0.596 0.751
Bi 0.500 0.198 0.716
Bi 0.500 0.802 0.216
CELL_PARAMETERS angstrom
5.145 0.000 0.000
0.000 10.259 0.000
0.000 0.000 9.495

Record 7
! Ba2GaBiS5 | the Alexandria database | PBE | optimized geometry; values from VASP
! E_form (uncorrected) (eV per atom): -1.298
! Offset from the most stable computed form (meV/atom): 0
&SYSTEM
  ibrav = 0, nat = 36, ntyp = 4
/
ATOMIC_SPECIES
Ba 137.33 Ba.upf
Ga 69.72 Ga.upf
Bi 208.98 Bi.upf
S 32.06 S.upf
ATOMIC_POSITIONS crystal
Ba 0.177 0.007 0.117
Ba 0.177 0.493 0.117
Ba 0.323 0.507 0.617
Ba 0.323 0.993 0.617
Ba 0.677 0.007 0.383
Ba 0.677 0.493 0.383
Ba 0.823 0.507 0.883
Ba 0.823 0.993 0.883
Ga 0.095 0.750 0.825
Ga 0.405 0.250 0.325
Ga 0.595 0.750 0.675
Ga 0.905 0.250 0.175
Bi 0.018 0.750 0.465
Bi 0.482 0.250 0.965
Bi 0.518 0.750 0.035
Bi 0.982 0.250 0.535
S 0.006 0.250 0.973
S 0.056 0.548 0.674
S 0.056 0.952 0.674
S 0.213 0.750 0.372
S 0.225 0.250 0.378
S 0.275 0.750 0.878
S 0.287 0.250 0.872
S 0.444 0.048 0.174
S 0.444 0.452 0.174
S 0.494 0.750 0.473
S 0.506 0.250 0.527
S 0.556 0.548 0.826
S 0.556 0.952 0.826
S 0.713 0.750 0.128
S 0.725 0.250 0.122
S 0.775 0.750 0.622
S 0.787 0.250 0.628
S 0.944 0.048 0.326
S 0.944 0.452 0.326
S 0.994 0.750 0.027
CELL_PARAMETERS angstrom
12.342 0.000 0.000
0.000 8.954 0.000
0.000 0.000 9.171

Record 8
! Ba2GaBiS5 | the Alexandria database | PBE | optimized geometry; values from VASP
! E_form (uncorrected) (eV per atom): -1.278
! Offset from the most stable computed form (meV/atom): 20
&SYSTEM
  ibrav = 0, nat = 18, ntyp = 4
/
ATOMIC_SPECIES
Ba 137.33 Ba.upf
Ga 69.72 Ga.upf
Bi 208.98 Bi.upf
S 32.06 S.upf
ATOMIC_POSITIONS crystal
Ba 0.116 0.884 0.500
Ba 0.128 0.872 0.145
Ba 0.872 0.128 0.645
Ba 0.884 0.116 0.000
Ga 0.446 0.554 0.237
Ga 0.554 0.446 0.737
Bi 0.203 0.797 0.848
Bi 0.797 0.203 0.348
S 0.031 0.969 0.829
S 0.291 0.709 0.491
S 0.323 0.677 0.193
S 0.346 0.654 0.825
S 0.496 0.504 0.587
S 0.504 0.496 0.087
S 0.654 0.346 0.325
S 0.677 0.323 0.693
S 0.709 0.291 0.991
S 0.969 0.031 0.329
CELL_PARAMETERS angstrom
2.057 -9.157 0.000
2.057 9.157 0.000
0.000 0.000 13.211

Record 9
! Ba2GaBiSe5 | the Alexandria database | PBE | optimized geometry; values from VASP
! E_form (uncorrected) (eV per atom): -1.238
! Offset from the most stable computed form (meV/atom): 0
&SYSTEM
  ibrav = 0, nat = 36, ntyp = 4
/
ATOMIC_SPECIES
Ba 137.33 Ba.upf
Ga 69.72 Ga.upf
Bi 208.98 Bi.upf
Se 78.96 Se.upf
ATOMIC_POSITIONS crystal
Ba 0.176 0.006 0.119
Ba 0.176 0.494 0.119
Ba 0.324 0.506 0.619
Ba 0.324 0.994 0.619
Ba 0.676 0.006 0.381
Ba 0.676 0.494 0.381
Ba 0.824 0.506 0.881
Ba 0.824 0.994 0.881
Ga 0.097 0.750 0.830
Ga 0.403 0.250 0.330
Ga 0.597 0.750 0.670
Ga 0.903 0.250 0.170
Bi 0.024 0.750 0.470
Bi 0.476 0.250 0.970
Bi 0.524 0.750 0.030
Bi 0.976 0.250 0.530
Se 0.007 0.250 0.965
Se 0.058 0.541 0.678
Se 0.058 0.959 0.678
Se 0.220 0.250 0.383
Se 0.220 0.750 0.374
Se 0.280 0.250 0.874
Se 0.280 0.750 0.883
Se 0.442 0.041 0.178
Se 0.442 0.459 0.178
Se 0.493 0.750 0.465
Se 0.507 0.250 0.535
Se 0.558 0.541 0.822
Se 0.558 0.959 0.822
Se 0.720 0.250 0.117
Se 0.720 0.750 0.126
Se 0.780 0.250 0.626
Se 0.780 0.750 0.617
Se 0.942 0.041 0.322
Se 0.942 0.459 0.322
Se 0.993 0.750 0.035
CELL_PARAMETERS angstrom
12.895 0.000 0.000
0.000 9.257 0.000
0.000 0.000 9.522

Record 10
! Ba2GaBiSe | the Alexandria database | PBE | optimized geometry; values from VASP
! E_form (uncorrected) (eV per atom): -0.513
&SYSTEM
  ibrav = 0, nat = 5, ntyp = 4
/
ATOMIC_SPECIES
Ba 137.33 Ba.upf
Ga 69.72 Ga.upf
Bi 208.98 Bi.upf
Se 78.96 Se.upf
ATOMIC_POSITIONS crystal
Ba 0.000 0.500 0.000
Ba 0.500 0.000 0.000
Ga 0.000 0.000 0.500
Bi 0.500 0.500 0.500
Se 0.500 0.500 0.000
CELL_PARAMETERS angstrom
6.175 0.000 0.000
0.000 6.175 0.000
0.000 0.000 5.755

Record 11
! BaGaBiSe4 | the Alexandria database | PBE | optimized geometry; values from VASP
! E_form (uncorrected) (eV per atom): -0.910
&SYSTEM
  ibrav = 0, nat = 14, ntyp = 4
/
ATOMIC_SPECIES
Ba 137.33 Ba.upf
Ga 69.72 Ga.upf
Bi 208.98 Bi.upf
Se 78.96 Se.upf
ATOMIC_POSITIONS crystal
Ba 0.245 0.250 0.440
Ba 0.755 0.750 0.560
Ga 0.276 0.750 0.183
Ga 0.724 0.250 0.817
Bi 0.266 0.250 0.958
Bi 0.734 0.750 0.042
Se 0.056 0.750 0.913
Se 0.068 0.750 0.355
Se 0.495 0.511 0.770
Se 0.495 0.989 0.770
Se 0.505 0.011 0.230
Se 0.505 0.489 0.230
Se 0.932 0.250 0.645
Se 0.944 0.250 0.087
CELL_PARAMETERS angstrom
7.010 0.000 0.000
0.000 7.183 0.000
-2.705 0.000 8.403

Record 12
! Ba2GaBiSe5 | the Alexandria database | PBE | optimized geometry; values from VASP
! E_form (uncorrected) (eV per atom): -1.231
! Offset from the most stable computed form (meV/atom): 7
&SYSTEM
  ibrav = 0, nat = 18, ntyp = 4
/
ATOMIC_SPECIES
Ba 137.33 Ba.upf
Ga 69.72 Ga.upf
Bi 208.98 Bi.upf
Se 78.96 Se.upf
ATOMIC_POSITIONS crystal
Ba 0.117 0.883 0.500
Ba 0.125 0.875 0.141
Ba 0.875 0.125 0.641
Ba 0.883 0.117 0.000
Ga 0.443 0.557 0.239
Ga 0.557 0.443 0.739
Bi 0.206 0.794 0.845
Bi 0.794 0.206 0.345
Se 0.037 0.963 0.839
Se 0.290 0.710 0.491
Se 0.318 0.682 0.189
Se 0.350 0.650 0.822
Se 0.497 0.503 0.584
Se 0.503 0.497 0.084
Se 0.650 0.350 0.322
Se 0.682 0.318 0.689
Se 0.710 0.290 0.991
Se 0.963 0.037 0.339
CELL_PARAMETERS angstrom
2.140 -9.613 0.000
2.140 9.613 0.000
0.000 0.000 13.562

Record 13
! Ba3Ga2Sn9Bi | the Alexandria database | PBE | optimized geometry; values from VASP
! ΔH_f (0 K) (meV per atom): -76
&SYSTEM
  ibrav = 0, nat = 15, ntyp = 4
/
ATOMIC_SPECIES
Ba 137.33 Ba.upf
Ga 69.72 Ga.upf
Sn 118.71 Sn.upf
Bi 208.98 Bi.upf
ATOMIC_POSITIONS crystal
Ba 0.000 0.000 0.000
Ba 0.333 0.667 0.674
Ba 0.667 0.333 0.326
Ga 0.333 0.667 0.076
Ga 0.667 0.333 0.924
Sn 0.000 0.500 0.000
Sn 0.196 0.392 0.315
Sn 0.196 0.804 0.315
Sn 0.392 0.196 0.685
Sn 0.500 0.000 0.000
Sn 0.500 0.500 0.000
Sn 0.608 0.804 0.315
Sn 0.804 0.196 0.685
Sn 0.804 0.608 0.685
Bi 0.000 0.000 0.500
CELL_PARAMETERS angstrom
8.545 0.000 0.000
-4.273 7.400 0.000
0.000 0.000 8.473

Record 14
! BaGa2TcBi | the Alexandria database | PBE | optimized geometry; values from VASP
! ΔH_f (0 K) (meV per atom): -204
&SYSTEM
  ibrav = 0, nat = 5, ntyp = 4
/
ATOMIC_SPECIES
Ba 137.33 Ba.upf
Ga 69.72 Ga.upf
Tc 98.00 Tc.upf
Bi 208.98 Bi.upf
ATOMIC_POSITIONS crystal
Ba 0.000 0.000 0.000
Ga 0.000 0.500 0.500
Ga 0.500 0.000 0.500
Tc 0.500 0.500 0.500
Bi 0.500 0.500 0.000
CELL_PARAMETERS angstrom
4.970 0.000 0.000
0.000 4.970 0.000
0.000 0.000 5.421

Record 15
! Ba2GaBiTe5 | the Alexandria database | PBE | optimized geometry; values from VASP
! E_form (uncorrected) (eV per atom): -0.958
! Offset from the most stable computed form (meV/atom): 9
&SYSTEM
  ibrav = 0, nat = 36, ntyp = 4
/
ATOMIC_SPECIES
Ba 137.33 Ba.upf
Ga 69.72 Ga.upf
Bi 208.98 Bi.upf
Te 127.60 Te.upf
ATOMIC_POSITIONS crystal
Ba 0.176 0.006 0.119
Ba 0.176 0.494 0.119
Ba 0.324 0.506 0.619
Ba 0.324 0.994 0.619
Ba 0.676 0.006 0.381
Ba 0.676 0.494 0.381
Ba 0.824 0.506 0.881
Ba 0.824 0.994 0.881
Ga 0.101 0.750 0.834
Ga 0.399 0.250 0.334
Ga 0.601 0.750 0.666
Ga 0.899 0.250 0.166
Bi 0.029 0.750 0.473
Bi 0.471 0.250 0.973
Bi 0.529 0.750 0.027
Bi 0.971 0.250 0.527
Te 0.008 0.250 0.956
Te 0.061 0.532 0.679
Te 0.061 0.968 0.679
Te 0.213 0.250 0.386
Te 0.226 0.750 0.372
Te 0.274 0.250 0.872
Te 0.287 0.750 0.886
Te 0.439 0.032 0.179
Te 0.439 0.468 0.179
Te 0.492 0.750 0.456
Te 0.508 0.250 0.544
Te 0.561 0.532 0.821
Te 0.561 0.968 0.821
Te 0.713 0.250 0.114
Te 0.726 0.750 0.128
Te 0.774 0.250 0.628
Te 0.787 0.750 0.614
Te 0.939 0.032 0.321
Te 0.939 0.468 0.321
Te 0.992 0.750 0.044
CELL_PARAMETERS angstrom
13.841 0.000 0.000
0.000 9.736 0.000
0.000 0.000 10.106

Record 16
! Ba2GaBiTe5 | the Alexandria database | PBE | optimized geometry; values from VASP
! E_form (uncorrected) (eV per atom): -0.967
! Offset from the most stable computed form (meV/atom): 0
&SYSTEM
  ibrav = 0, nat = 18, ntyp = 4
/
ATOMIC_SPECIES
Ba 137.33 Ba.upf
Ga 69.72 Ga.upf
Bi 208.98 Bi.upf
Te 127.60 Te.upf
ATOMIC_POSITIONS crystal
Ba 0.114 0.886 0.500
Ba 0.123 0.877 0.130
Ba 0.877 0.123 0.630
Ba 0.886 0.114 0.000
Ga 0.434 0.566 0.253
Ga 0.566 0.434 0.753
Bi 0.211 0.789 0.842
Bi 0.789 0.211 0.342
Te 0.049 0.951 0.862
Te 0.283 0.717 0.493
Te 0.314 0.686 0.184
Te 0.354 0.646 0.816
Te 0.500 0.500 0.093
Te 0.500 0.500 0.593
Te 0.646 0.354 0.316
Te 0.686 0.314 0.684
Te 0.717 0.283 0.993
Te 0.951 0.049 0.362
CELL_PARAMETERS angstrom
2.283 -10.486 0.000
2.283 10.486 0.000
0.000 0.000 14.045

Record 17
! BaTl2GaBi | the Alexandria database | PBE | optimized geometry; values from VASP
! ΔH_f (0 K) (meV per atom): -175
&SYSTEM
  ibrav = 0, nat = 5, ntyp = 4
/
ATOMIC_SPECIES
Ba 137.33 Ba.upf
Tl 204.38 Tl.upf
Ga 69.72 Ga.upf
Bi 208.98 Bi.upf
ATOMIC_POSITIONS crystal
Ba 0.000 0.000 0.000
Tl 0.000 0.500 0.500
Tl 0.500 0.000 0.500
Ga 0.500 0.500 0.500
Bi 0.500 0.500 0.000
CELL_PARAMETERS angstrom
5.541 0.000 0.000
0.000 5.541 0.000
0.000 0.000 5.836

Record 18
! BaTlGaBi2 | the Alexandria database | PBE | optimized geometry; values from VASP
! ΔH_f (0 K) (meV per atom): -197
&SYSTEM
  ibrav = 0, nat = 5, ntyp = 4
/
ATOMIC_SPECIES
Ba 137.33 Ba.upf
Tl 204.38 Tl.upf
Ga 69.72 Ga.upf
Bi 208.98 Bi.upf
ATOMIC_POSITIONS crystal
Ba 0.000 0.000 0.000
Tl 0.500 0.500 0.000
Ga 0.500 0.500 0.500
Bi 0.000 0.500 0.500
Bi 0.500 0.000 0.500
CELL_PARAMETERS angstrom
5.750 0.000 0.000
0.000 5.750 0.000
0.000 0.000 5.449

Record 19
! BaTl2GaBi2 | the Alexandria database | PBE | optimized geometry; values from VASP
! ΔH_f (0 K) (meV per atom): -285
&SYSTEM
  ibrav = 0, nat = 12, ntyp = 4
/
ATOMIC_SPECIES
Ba 137.33 Ba.upf
Tl 204.38 Tl.upf
Ga 69.72 Ga.upf
Bi 208.98 Bi.upf
ATOMIC_POSITIONS crystal
Ba 0.000 0.075 0.000
Ba 0.000 0.925 0.500
Tl 0.000 0.344 0.331
Tl 0.000 0.656 0.831
Tl 0.500 0.438 0.033
Tl 0.500 0.562 0.533
Ga 0.500 0.168 0.656
Ga 0.500 0.832 0.156
Bi 0.000 0.333 0.707
Bi 0.000 0.667 0.207
Bi 0.500 0.119 0.296
Bi 0.500 0.881 0.796
CELL_PARAMETERS angstrom
4.934 0.000 0.000
0.000 9.920 0.000
0.000 0.000 8.514